(1)
Compound: CaSbAu4
Source: Alexandria
Functional: GGA-PBEsol
Structure: relaxed

abc: 5.5529 5.5529 5.5529
angles: 60.00 60.00 60.00
With the nearest neighbours (Å) after each atom.
Positions (direct):
Sb  0.0000  0.0000  0.0000  12 Au 3.26, 4 Ca 3.40
Au  0.8742  0.3752  0.3752  6 Au 2.77-2.78
Ca  0.7500  0.7500  0.7500  12 Au 3.26, 4 Sb 3.40
Au  0.3752  0.3752  0.8742  6 Au 2.77-2.78
Au  0.3752  0.3752  0.3752  6 Au 2.77-2.78
Au  0.3752  0.8742  0.3752  6 Au 2.77-2.78

Computed properties:
Its space group is F-43m, No. 216. As for the crystal system: cubic. The value obtained for the total energy is -4.139 eV/atom.

***

(2)
Compound: NaSrZn2C
Source: Alexandria
Functional: GGA-PBEsol
Structure: relaxed

abc: 4.7989 4.7989 6.3242
angles: 90.00 90.00 90.00
With the nearest neighbours (Å) after each atom.
Positions (direct):
Sr  0.0000  0.0000  0.5000  2 Na 3.16, 4 C 3.39
C  0.5000  0.5000  0.5000  4 Sr 3.39
Zn  0.0000  0.5000  0.0000  2 Na 2.40
Zn  0.5000  0.0000  0.0000  2 Na 2.40
Na  0.0000  0.0000  0.0000  4 Zn 2.40

Computed properties:
As for the energy relative to the elements: 824 kJ/mol of formula units. Its space group is P4/mmm, No. 123. As for the crystal system: tetragonal.

***

(3)
Compound: GaAgGeS4
Source: Alexandria
Functional: GGA-PBEsol
Structure: relaxed

abc: 6.8099 6.7721 11.8256
angles: 75.83 82.96 61.35
With the nearest neighbours (Å) after each atom.
Positions (direct):
Ag  0.6718  0.6274  0.0889  4 S 2.52-2.69
S  0.6950  0.9820  0.9574  1 Ge 2.24, 1 Ga 2.31
S  0.9067  0.1667  0.1538  1 Ge 2.26, 1 Ga 2.26
S  0.3798  0.1184  0.2335  1 Ge 2.22, 1 Ga 2.29
S  0.8743  0.6123  0.2600  1 Ge 2.22, 1 Ga 2.27
Ge  0.7505  0.9610  0.7689  4 S 2.19-2.25
Ga  0.0126  0.9893  0.0014  4 S 2.26-2.31
S  0.8119  0.9524  0.4551  1 Ge 2.21, 1 Ga 2.29
Ag  0.1825  0.9697  0.4140  4 S 2.51-2.63
Ge  0.7384  0.9768  0.2737  4 S 2.21-2.26
S  0.1160  0.7466  0.7347  2 Ge 2.25-2.26
S  0.6004  0.3136  0.6652  1 Ge 2.19, 1 Ga 2.28
S  0.6085  0.7368  0.7495  2 Ge 2.22-2.23
S  0.1804  0.2155  0.5428  1 Ge 2.21, 1 Ga 2.31
S  0.0877  0.2276  0.8503  1 Ge 2.25, 1 Ga 2.28
Ga  0.4992  0.2609  0.5023  4 S 2.25-2.31
Ge  0.2500  0.9987  0.7210  4 S 2.21-2.26
Ag  0.3307  0.3743  0.9170  4 S 2.52-2.78
Ga  0.2452  0.5005  0.2307  4 S 2.25-2.30
S  0.4066  0.5771  0.3580  2 Ga 2.25
S  0.3181  0.6356  0.0405  2 Ga 2.28-2.30, 2 Ag 2.52

Computed properties:
Its space group is P1, No. 1. As for the crystal system: triclinic. The value obtained for the total energy is -4.579 eV/atom.

***

(4)
Compound: NbBCl2
Source: Alexandria
Functional: GGA-PBEsol
Structure: relaxed

abc: 3.0666 3.0666 8.8918
angles: 80.07 80.07 60.00
With the nearest neighbours (Å) after each atom.
Positions (direct):
Cl  0.9019  0.9019  0.2943  3 Nb 2.52, 1 B 2.56
Nb  0.5000  0.5000  0.5000  6 Cl 2.52
B  0.0000  0.0000  0.0000  2 Cl 2.56
Cl  0.0981  0.0981  0.7057  3 Nb 2.52, 1 B 2.56

Computed properties:
Its space group is R-3m, No. 166. As for the crystal system: trigonal. The value obtained for the total energy is -5.065 eV/atom.

***

(5)
Compound: Zr2Rh
Source: Alexandria
Functional: GGA-PBEsol
Structure: relaxed

abc: 3.4138 4.6284 7.2263
angles: 90.00 103.66 90.00
With the nearest neighbours (Å) after each atom.
Positions (direct):
Zr  0.4235  0.7500  0.8469  6 Rh 2.78-2.88, 2 Zr 3.10
Rh  0.9203  0.2500  0.8406  8 Zr 2.78-2.88
Zr  0.2604  0.2500  0.5208  2 Rh 2.82, 6 Zr 2.89-3.10
Zr  0.7396  0.7500  0.4792  2 Rh 2.82, 6 Zr 2.89-3.10
Zr  0.5765  0.2500  0.1531  6 Rh 2.78-2.88, 2 Zr 3.10
Rh  0.0797  0.7500  0.1594  8 Zr 2.78-2.88

Computed properties:
As for the energy relative to the elements: -151 kJ/mol of formula units. Its space group is Cmcm, No. 63. As for the crystal system: orthorhombic.

***

(6)
Compound: LaFeC3
Source: Alexandria
Functional: GGA-PBEsol
Structure: relaxed

abc: 4.2965 4.2965 4.2965
angles: 90.00 90.00 90.00
With the nearest neighbours (Å) after each atom.
Positions (direct):
C  0.5000  0.0000  0.0000  2 La 2.15
C  0.0000  0.5000  0.0000  2 La 2.15
La  0.0000  0.0000  0.0000  6 C 2.15
C  0.0000  0.0000  0.5000  2 La 2.15
Fe  0.5000  0.5000  0.5000  12 C 3.04

Computed properties:
As for the energy relative to the elements: 1531 kJ/mol of formula units. Its space group is Pm-3m, No. 221. As for the crystal system: cubic.

***

(7)
Compound: BaCaCr2As
Source: Alexandria
Functional: GGA-PBEsol
Structure: relaxed

abc: 4.9533 4.9533 6.0676
angles: 90.00 90.00 90.00
With the nearest neighbours (Å) after each atom.
Positions (direct):
Cr  0.5000  0.0000  0.0000  2 As 2.48
Cr  0.0000  0.5000  0.0000  2 As 2.48
Ba  0.0000  0.0000  0.5000  2 As 3.03
Ca  0.5000  0.5000  0.5000  4 Ba 3.50, 8 Cr 3.92
As  0.0000  0.0000  0.0000  4 Cr 2.48

Computed properties:
As for the energy relative to the elements: 292 kJ/mol of formula units. Its space group is P4/mmm, No. 123. As for the crystal system: tetragonal.

***

(8)
Compound: Na2SnO2
Source: Alexandria
Functional: GGA-PBEsol
Structure: relaxed

abc: 5.7545 6.7740 16.7967
angles: 90.00 90.00 90.00
With the nearest neighbours (Å) after each atom.
Positions (direct):
Na  0.7500  0.3860  0.5000  4 O 2.33-2.58
Na  0.5807  0.1257  0.8508  3 O 2.28-2.35
Na  0.0807  0.8743  0.8508  3 O 2.28-2.35
O  0.3864  0.4036  0.9018  2 Sn 2.12-2.13, 1 Na 2.35
Na  0.2500  0.6140  0.5000  4 O 2.33-2.58
O  0.4405  0.8493  0.9114  1 Sn 2.02
O  0.1136  0.9036  0.4018  2 Sn 2.12-2.13, 1 Na 2.35
Na  0.0807  0.3743  0.6492  3 O 2.28-2.35
O  0.4405  0.3493  0.5886  1 Sn 2.02
O  0.8864  0.5964  0.9018  2 Sn 2.12-2.13, 1 Na 2.35
O  0.5595  0.6507  0.4114  1 Sn 2.02
O  0.3864  0.9036  0.5982  2 Sn 2.12-2.13, 1 Na 2.35
Na  0.7500  0.8709  0.5000  4 O 2.38
O  0.0595  0.3493  0.4114  1 Sn 2.02
O  0.8864  0.0964  0.5982  2 Sn 2.12-2.13, 1 Na 2.35
Na  0.9193  0.6257  0.3508  3 O 2.28-2.35
Sn  0.9329  0.6325  0.1589  3 O 2.02-2.13
Na  0.4193  0.8743  0.1492  3 O 2.28-2.35
O  0.0595  0.8493  0.0886  1 Sn 2.02
Na  0.7500  0.8860  0.0000  4 O 2.33-2.58
Na  0.2500  0.1291  0.5000  4 O 2.38
Na  0.4193  0.3743  0.3508  3 O 2.28-2.35
Na  0.7500  0.3709  0.0000  4 O 2.38
O  0.6136  0.5964  0.0982  2 Sn 2.12-2.13, 1 Na 2.35
O  0.9405  0.6507  0.5886  1 Sn 2.02
Na  0.9193  0.1257  0.1492  3 O 2.28-2.35
Sn  0.9329  0.1325  0.3411  3 O 2.02-2.13
Sn  0.0671  0.8675  0.6589  3 O 2.02-2.13
Sn  0.4329  0.8675  0.3411  3 O 2.02-2.13
Na  0.2500  0.1140  0.0000  4 O 2.33-2.58
Na  0.2500  0.6291  0.0000  4 O 2.38
Na  0.5807  0.6257  0.6492  3 O 2.28-2.35
O  0.9405  0.1507  0.9114  1 Sn 2.02
Sn  0.5671  0.6325  0.8411  3 O 2.02-2.13
Sn  0.5671  0.1325  0.6589  3 O 2.02-2.13
O  0.5595  0.1507  0.0886  1 Sn 2.02
O  0.1136  0.4036  0.0982  2 Sn 2.12-2.13, 1 Na 2.35
O  0.6136  0.0964  0.4018  2 Sn 2.12-2.13, 1 Na 2.35
Sn  0.0671  0.3675  0.8411  3 O 2.02-2.13
Sn  0.4329  0.3675  0.1589  3 O 2.02-2.13

Computed properties:
Its relative energy among the computed polymorphs is 0.000 eV/atom. Its space group is Pbcn, No. 60. As for the crystal system: orthorhombic.

***

(9)
Compound: ScCrNi6
Source: Alexandria
Functional: GGA-PBEsol
Structure: relaxed

abc: 6.1703 6.1703 10.1084
angles: 90.00 90.00 109.58
With the nearest neighbours (Å) after each atom.
Positions (direct):
Ni  0.8632  0.6175  0.3684  1 Cr 2.43, 8 Ni 2.48-2.66, 3 Sc 2.53-2.60
Ni  0.1368  0.3825  0.3684  1 Cr 2.43, 8 Ni 2.48-2.66, 3 Sc 2.53-2.60
Cr  0.2436  0.7564  0.0000  12 Ni 2.42-2.59
Ni  0.2554  0.7446  0.2389  8 Ni 2.41-2.63, 2 Cr 2.42-2.47, 2 Sc 2.58-2.64
Ni  0.6152  0.8703  0.8803  8 Ni 2.41-2.57, 3 Cr 2.48-2.52, 1 Sc 2.59
Ni  0.7446  0.2554  0.2389  8 Ni 2.41-2.63, 2 Cr 2.42-2.47, 2 Sc 2.58-2.64
Ni  0.3825  0.1368  0.3684  1 Cr 2.43, 8 Ni 2.48-2.66, 3 Sc 2.53-2.60
Ni  0.8632  0.6175  0.6316  1 Cr 2.43, 8 Ni 2.48-2.66, 3 Sc 2.53-2.60
Ni  0.0000  0.0000  0.5000  4 Sc 2.49-2.54, 8 Ni 2.59
Sc  0.7534  0.2466  0.5000  12 Ni 2.49-2.64
Ni  0.3848  0.1297  0.1197  8 Ni 2.41-2.57, 3 Cr 2.48-2.52, 1 Sc 2.59
Ni  0.3848  0.1297  0.8803  8 Ni 2.41-2.57, 3 Cr 2.48-2.52, 1 Sc 2.59
Cr  0.5000  0.5000  0.2488  12 Ni 2.43-2.54
Cr  0.5000  0.5000  0.7512  12 Ni 2.43-2.54
Ni  0.8703  0.6152  0.8803  8 Ni 2.41-2.57, 3 Cr 2.48-2.52, 1 Sc 2.59
Sc  0.0000  0.0000  0.7511  12 Ni 2.52-2.59
Ni  0.0000  0.0000  0.0000  2 Cr 2.46, 2 Sc 2.52, 8 Ni 2.54
Ni  0.3825  0.1368  0.6316  1 Cr 2.43, 8 Ni 2.48-2.66, 3 Sc 2.53-2.60
Ni  0.6175  0.8632  0.3684  1 Cr 2.43, 8 Ni 2.48-2.66, 3 Sc 2.53-2.60
Ni  0.2554  0.7446  0.7611  8 Ni 2.41-2.63, 2 Cr 2.42-2.47, 2 Sc 2.58-2.64
Ni  0.1297  0.3848  0.1197  8 Ni 2.41-2.57, 3 Cr 2.48-2.52, 1 Sc 2.59
Ni  0.1368  0.3825  0.6316  1 Cr 2.43, 8 Ni 2.48-2.66, 3 Sc 2.53-2.60
Sc  0.2466  0.7534  0.5000  12 Ni 2.49-2.64
Ni  0.5000  0.5000  0.0000  8 Ni 2.47, 4 Cr 2.52-2.59
Cr  0.7564  0.2436  0.0000  12 Ni 2.42-2.59
Sc  0.0000  0.0000  0.2489  12 Ni 2.52-2.59
Ni  0.1297  0.3848  0.8803  8 Ni 2.41-2.57, 3 Cr 2.48-2.52, 1 Sc 2.59
Ni  0.6175  0.8632  0.6316  1 Cr 2.43, 8 Ni 2.48-2.66, 3 Sc 2.53-2.60
Ni  0.6152  0.8703  0.1197  8 Ni 2.41-2.57, 3 Cr 2.48-2.52, 1 Sc 2.59
Ni  0.8703  0.6152  0.1197  8 Ni 2.41-2.57, 3 Cr 2.48-2.52, 1 Sc 2.59
Ni  0.7446  0.2554  0.7611  8 Ni 2.41-2.63, 2 Cr 2.42-2.47, 2 Sc 2.58-2.64
Ni  0.5000  0.5000  0.5000  8 Ni 2.50, 2 Cr 2.54, 2 Sc 2.55

Computed properties:
As for the energy relative to the elements: -158 kJ/mol of formula units. Its space group is Cmmm, No. 65. As for the crystal system: orthorhombic.

***

(10)
Compound: Sr2ZrHg
Source: Alexandria
Functional: GGA-PBEsol
Structure: relaxed

abc: 3.5462 5.9440 5.9440
angles: 108.60 90.00 90.00
With the nearest neighbours (Å) after each atom.
Positions (direct):
Zr  0.5000  0.0000  0.0000  8 Sr 3.46, 2 Hg 3.47, 2 Zr 3.55
Sr  0.0000  0.5000  0.0000  4 Hg 3.46, 4 Zr 3.46, 4 Sr 3.47-3.55
Sr  0.0000  0.0000  0.5000  4 Zr 3.46, 4 Hg 3.46, 4 Sr 3.47-3.55
Hg  0.5000  0.5000  0.5000  8 Sr 3.46, 2 Zr 3.47, 2 Hg 3.55

Computed properties:
As for the energy relative to the elements: 89 kJ/mol of formula units. Its space group is Cmmm, No. 65. As for the crystal system: orthorhombic.

***

(11)
Compound: Zn3CoS4
Source: Alexandria
Functional: GGA-PBEsol
Structure: relaxed

abc: 3.7671 3.7671 10.1175
angles: 90.00 90.00 90.00
With the nearest neighbours (Å) after each atom.
Positions (direct):
Co  0.5000  0.5000  0.0000  4 S 2.13
Zn  0.5000  0.5000  0.5000  4 S 2.32
S  0.5000  0.0000  0.6331  4 Zn 2.32
Zn  0.0000  0.0000  0.2335  4 S 2.32-2.33
Zn  0.0000  0.0000  0.7665  4 S 2.32-2.33
S  0.0000  0.5000  0.9012  2 Co 2.13, 2 Zn 2.33
S  0.5000  0.0000  0.0988  2 Co 2.13, 2 Zn 2.33
S  0.0000  0.5000  0.3669  4 Zn 2.32

Computed properties:
Its space group is P-4m2, No. 115. As for the crystal system: tetragonal. The value obtained for the total energy is -4.376 eV/atom.

***

(12)
Compound: K2BaTc
Source: Alexandria
Functional: GGA-PBEsol
Structure: relaxed

abc: 3.7950 5.8097 6.6266
angles: 90.00 90.00 93.83
With the nearest neighbours (Å) after each atom.
Positions (direct):
K  0.7690  0.7231  0.0000  3 K 3.19-3.56
Tc  0.0000  0.5000  0.5000  4 Ba 3.36-3.57, 4 K 3.68
K  0.2310  0.2769  0.0000  3 K 3.19-3.56
Ba  0.5000  0.0000  0.5000  4 Tc 3.36-3.57

Computed properties:
As for the energy relative to the elements: 463 kJ/mol of formula units. Its space group is P2/m, No. 10. As for the crystal system: monoclinic.